Density functional theory data (GGA+U) for crystalline Nd2CoO4 at its relaxed geometry.

a b c (Å): 12.4027 5.6913 5.6958
angles (deg): 90.00 90.00 90.00
Space group Cmce (No. 64)
One atom of each set of equivalent atoms:
Nd  0.1519  0.0000  0.0000 (multiplicity 8)
Co  0.0000  0.0000  0.5000 (multiplicity 4)
O  0.0000  0.2016  0.2311 (multiplicity 8)
O  0.2500  0.2407  0.7500 (multiplicity 8)

Offset from the most stable computed form = 0.0000 eV per atom
Total moment = 0.429 μB per atom
Calculated total energy = -7.569 eV per atom